{
  "formula": "KBiSb2Mo",
  "functional": "PBE",
  "state": "relaxed",
  "raw_formation_energy_ev_per_atom": 0.617,
  "spacegroup": "P4/mmm, No. 123",
  "volume_a3_per_atom": 33.34,
  "dft_energy_ev_per_atom": -4.194,
  "lattice": [[5.2578, 0.0000, 0.0000], [0.0000, 5.2578, 0.0000], [0.0000, 0.0000, 6.0294]],
  "species": ["K", "Bi", "Sb", "Sb", "Mo"],
  "frac_coords": [[0.0000, 0.0000, 0.0000], [0.5000, 0.5000, 0.0000], [0.0000, 0.5000, 0.5000], [0.5000, 0.0000, 0.5000], [0.0000, 0.0000, 0.5000]]
}